{
  "formula": "CaCrPd",
  "functional": "GGA-PBE",
  "state": "relaxed",
  "lattice": [[3.860, -2.228, 0.000], [0.000, 4.457, 0.000], [0.000, 0.000, 7.809]],
  "species": ["Cr", "Cr", "Ca", "Ca", "Pd", "Pd"],
  "frac_coords": [[0.333, 0.667, 0.250], [0.667, 0.333, 0.750], [0.000, 0.000, 0.000], [0.000, 0.000, 0.500], [0.333, 0.667, 0.750], [0.667, 0.333, 0.250]],
  "volume_a3_per_atom": 22.4,
  "spacegroup": "P6_3/mmc, No. 194",
  "total_magnetization_mub_per_cell": 8.38,
  "e_form_ev_per_atom": 0.040,
  "relative_energy_mev_per_atom": 128.0,
  "final_energy_ev_per_atom": -5.566
}

=====

{
  "formula": "YNi2Te",
  "functional": "GGA-PBE",
  "state": "relaxed",
  "lattice": [[5.442, 0.057, 0.000], [2.491, 4.839, 0.000], [-3.966, -2.448, 2.810]],
  "species": ["Ni", "Ni", "Te", "Y"],
  "frac_coords": [[0.000, 0.000, 0.000], [0.250, 0.750, 0.500], [0.500, 0.500, 0.000], [0.750, 0.250, 0.500]],
  "volume_a3_per_atom": 18.4,
  "raw_formation_energy_ev_per_atom": -0.21,
  "spacegroup": "I-4m2, No. 119",
  "total_magnetization_mub_per_cell": 0.00,
  "final_energy_ev_per_atom": -5.503
}

=====

{
  "formula": "TcPRh2",
  "functional": "GGA-PBE",
  "state": "relaxed",
  "lattice": [[1.363, -4.556, 0.455], [1.691, -3.854, -2.261], [4.086, 1.246, 0.816]],
  "species": ["Tc", "P", "Rh", "Rh"],
  "frac_coords": [[0.500, 0.500, 0.000], [0.000, 0.000, 0.500], [0.227, 0.227, 0.753], [0.773, 0.773, 0.247]],
  "volume_a3_per_atom": 14.0,
  "spacegroup": "C2/m, No. 12",
  "total_magnetization_mub_per_cell": 0.00,
  "e_form_ev_per_atom": -0.131,
  "final_energy_ev_per_atom": -7.750
}

=====

{
  "formula": "Ba2ErGeTe5",
  "functional": "GGA-PBE",
  "state": "relaxed",
  "lattice": [[4.724, 0.000, 0.000], [-2.362, 10.201, 0.000], [0.000, 0.000, 13.781]],
  "species": ["Ba", "Ba", "Ba", "Ba", "Er", "Er", "Ge", "Ge", "Te", "Te", "Te", "Te", "Te", "Te", "Te", "Te", "Te", "Te"],
  "frac_coords": [[0.877, 0.754, 0.819], [0.121, 0.241, 0.686], [0.123, 0.246, 0.319], [0.879, 0.759, 0.186], [0.793, 0.586, 0.524], [0.207, 0.414, 0.024], [0.562, 0.124, 0.942], [0.438, 0.876, 0.442], [0.352, 0.704, 0.004], [0.687, 0.374, 0.871], [0.502, 0.003, 0.770], [0.294, 0.589, 0.667], [0.950, 0.900, 0.542], [0.648, 0.296, 0.504], [0.313, 0.626, 0.371], [0.498, 0.997, 0.270], [0.706, 0.411, 0.167], [0.050, 0.100, 0.042]],
  "volume_a3_per_atom": 36.9,
  "raw_formation_energy_ev_per_atom": -1.20,
  "spacegroup": "Cmc2_1, No. 36",
  "total_magnetization_mub_per_cell": 0.00,
  "final_energy_ev_per_atom": -4.395
}

=====

{
  "formula": "La2YEr5",
  "functional": "GGA-PBE",
  "state": "relaxed",
  "lattice": [[-4.336, 2.258, 1.395], [-3.707, -4.729, -3.867], [-0.839, -8.627, 11.355]],
  "species": ["La", "La", "La", "La", "Y", "Y", "Er", "Er", "Er", "Er", "Er", "Er", "Er", "Er", "Er", "Er"],
  "frac_coords": [[0.500, 0.252, 0.625], [0.500, 0.748, 0.375], [0.500, 0.248, 0.125], [0.500, 0.752, 0.875], [0.000, 0.000, 0.500], [0.000, 0.500, 0.000], [0.000, 0.000, 0.000], [0.000, 0.500, 0.500], [0.000, 0.501, 0.749], [0.000, 0.499, 0.251], [0.000, 0.999, 0.249], [0.000, 0.001, 0.751], [0.500, 0.250, 0.875], [0.500, 0.750, 0.125], [0.500, 0.250, 0.375], [0.500, 0.750, 0.625]],
  "volume_a3_per_atom": 32.4,
  "spacegroup": "Pbam, No. 55",
  "total_magnetization_mub_per_cell": 0.00,
  "e_form_ev_per_atom": 0.038,
  "relative_energy_mev_per_atom": 0.0,
  "final_energy_ev_per_atom": -4.853
}

=====

{
  "formula": "Sr2Nb2Re",
  "functional": "GGA-PBE",
  "state": "relaxed",
  "lattice": [[-1.728, -2.953, -1.228], [3.160, -1.360, -1.175], [2.169, -6.929, 8.234]],
  "species": ["Re", "Nb", "Nb", "Sr", "Sr"],
  "frac_coords": [[0.000, 0.000, 0.000], [0.750, 0.250, 0.500], [0.250, 0.750, 0.500], [0.406, 0.406, 0.188], [0.594, 0.594, 0.812]],
  "volume_a3_per_atom": 28.2,
  "spacegroup": "I4/mmm, No. 139",
  "total_magnetization_mub_per_cell": 2.08,
  "e_form_ev_per_atom": 1.180,
  "relative_energy_mev_per_atom": 0.0,
  "final_energy_ev_per_atom": -6.010
}